[1]
Material: LaMgIn
Method: DFT, GGA-PBE
State: relaxed

Unit cell a=5.0495 b=5.0495 c=5.0495 alpha=60.00 beta=60.00 gamma=60.00
Atoms (fractional coordinates):
In 0.0000 0.0000 0.0000
La 0.5000 0.5000 0.5000
Mg 0.2500 0.2500 0.2500

Calculated formation energy: -0.177 eV/atom
E: -3.264 eV/atom
Density of states at the Fermi level: 1.290 states/eV per cell

=====

[2]
Material: LaMgIn
Method: DFT, GGA-PBE
State: relaxed

Unit cell a=5.3570 b=5.3612 c=6.8472 alpha=90.03 beta=89.91 gamma=120.04
Atoms (fractional coordinates):
Mg 0.9087 0.7504 0.7621
Mg 0.2421 0.4168 0.5879
La 0.2419 0.4170 0.0663
La 0.5753 0.0834 0.4496
In 0.5754 0.0839 0.9169
In 0.9086 0.7502 0.2816

Calculated formation energy: -0.326 eV/atom
E: -3.413 eV/atom
Density of states at the Fermi level: 1.507 states/eV per cell

=====

Q: Which of these has the highest calculated formation energy?
A: number 1

=====

Q: density of states at the Fermi level of number 2 (LaMgIn)?
A: 1.507 states/eV per cell

=====

Q: Which value of calculated formation energy does entry 1 give?
A: -0.177 eV/atom